The following is a DFT calculation (PBE) of a relaxed Sr3Cd crystal.

Properties
calculated formation energy	-0.169	eV/atom

Cell and atoms, written as extended XYZ:
```
4
Lattice="4.120 -0.003 0.000 0.002 4.120 0.000 0.000 0.000 10.391" Properties=species:S:1:pos:R:3 pbc="T T T"
Sr 2.061 2.059 8.418
Sr 0.000 0.000 5.196
Sr 2.061 2.059 1.973
Cd 0.000 0.000 0.000
```